A relaxed structure of Sm2GaRuC. Source: Alexandria via LeMat-Bulk, functional PBE.

a = 3.903 Å, b = 3.903 Å, c = 13.133 Å
α = 90.00°, β = 90.00°, γ = 90.00°
Element x y z (fractional)
Ru: 0.500 0.500 0.500
Ru: 0.000 0.000 0.500
Sm: 0.000 0.500 0.713
Sm: 0.500 0.000 0.287
Sm: 0.000 0.500 0.091
Sm: 0.500 0.000 0.909
Ga: 0.000 0.500 0.375
Ga: 0.500 0.000 0.625
C: 0.500 0.000 0.102
C: 0.000 0.500 0.898

Results
Calculated formation energy: -0.9 eV per formula unit
Volume: 20.003 Å³ per atom
SG: P4/nmm (129)



A relaxed structure of Sm3Ga2Ru3C. Source: Alexandria via LeMat-Bulk, functional PBE.

a = 3.506 Å, b = 7.378 Å, c = 7.378 Å
α = 120.00°, β = 90.00°, γ = 90.00°
Element x y z (fractional)
C: 0.000 0.000 0.000
Sm: 0.000 0.635 0.635
Sm: 0.000 0.365 0.000
Sm: 0.000 0.000 0.365
Ru: 0.500 0.000 0.783
Ru: 0.500 0.217 0.217
Ru: 0.500 0.783 0.000
Ga: 0.500 0.333 0.667
Ga: 0.500 0.667 0.333

Results
Calculated formation energy: -1.4 eV per formula unit
Volume: 18.361 Å³ per atom
SG: P-62m (189)



A relaxed structure of SrGa2Ru2C. Source: Alexandria via LeMat-Bulk, functional PBE.

a = 4.125 Å, b = 4.125 Å, c = 5.835 Å
α = 90.00°, β = 90.00°, γ = 90.00°
Element x y z (fractional)
Sr: 0.000 0.000 0.500
Ga: 0.500 0.500 0.727
Ga: 0.500 0.500 0.273
Ru: 0.500 0.000 0.000
Ru: 0.000 0.500 0.000
C: 0.000 0.000 0.000

Results
Calculated formation energy: -1.8 eV per formula unit
Volume: 16.550 Å³ per atom
SG: P4/mmm (123)



A relaxed structure of Sr2Ga2Ru2C. Source: Alexandria via LeMat-Bulk, functional PBE.

a = 4.397 Å, b = 6.211 Å, c = 6.239 Å
α = 75.62°, β = 69.37°, γ = 69.27°
Element x y z (fractional)
Ru: 0.809 0.297 0.086
Ru: 0.191 0.703 0.914
Sr: 0.562 0.177 0.698
Sr: 0.438 0.823 0.302
Ga: 0.824 0.612 0.740
Ga: 0.176 0.388 0.260
C: 0.000 0.000 0.000

Results
Calculated formation energy: -2.1 eV per formula unit
Volume: 21.088 Å³ per atom
SG: C2/m (12)



Please write out number 4 again, unchanged.
A relaxed structure of Sr2Ga2Ru2C. Source: Alexandria via LeMat-Bulk, functional PBE.

a = 4.397 Å, b = 6.211 Å, c = 6.239 Å
α = 75.62°, β = 69.37°, γ = 69.27°
Element x y z (fractional)
Ru: 0.809 0.297 0.086
Ru: 0.191 0.703 0.914
Sr: 0.562 0.177 0.698
Sr: 0.438 0.823 0.302
Ga: 0.824 0.612 0.740
Ga: 0.176 0.388 0.260
C: 0.000 0.000 0.000

Results
Calculated formation energy: -2.1 eV per formula unit
Volume: 21.088 Å³ per atom
SG: C2/m (12)



Question: Among the records above, which one has the highest calculated formation energy?
Answer: Sm2GaRuC



Question: Among the records above, which one has the highest volume?
Answer: Sr2Ga2Ru2C